Computed, not measured: an optimized crystal structure of K3AlGa at the PBE level of DFT.

Energy relative to the elements, eV per formula unit: 2.8
Energy relative to the lowest polymorph listed for this composition, meV/atom: 0.0

Geometry as extended XYZ:
```
5
Lattice="-5.285 -1.078 3.569 3.728 -1.605 5.035 0.047 6.172 1.933" Properties=species:S:1:pos:R:3 pbc="T T T"
K -2.642 -0.539 1.784
K 1.864 -0.803 2.518
Ga 0.000 0.000 0.000
K 0.023 3.086 0.967
Al -0.755 1.744 5.269
```